Material: Cd2WF8
Method: DFT, PBE with a Hubbard U
State: optimized geometry

```
data_Cd2WF8
_chemical_formula_sum 'Cd4 W2 F16'
_symmetry_space_group_name_H-M 'C 1 2/m 1'
_symmetry_Int_Tables_number 12
_cell_length_a 10.297
_cell_length_b 7.441
_cell_length_c 4.544
_cell_angle_alpha 90.00
_cell_angle_beta 90.98
_cell_angle_gamma 90.00
loop_
_symmetry_equiv_pos_as_xyz
'x,y,z'
'-x,-y,-z'
'-x,y,-z'
'x,-y,z'
'x+1/2,y+1/2,z'
'-x+1/2,-y+1/2,-z'
'-x+1/2,y+1/2,-z'
'x+1/2,-y+1/2,z'
loop_
_atom_site_label
_atom_site_type_symbol
_atom_site_fract_x
_atom_site_fract_y
_atom_site_fract_z
Cd1 Cd 0.129 0.000 0.254
W1 W 0.000 0.500 0.000
F1 F 0.092 0.000 0.750
F2 F 0.096 0.307 0.220
F3 F 0.160 0.500 0.733
```

electronic total energy	-4.5854	eV/atom